[1]
Computed, not measured: Tm2ThRu4 after structural relaxation at the GGA-PBE level of DFT.

Geometry as CIF:
```
data_Tm2ThRu4
_symmetry_space_group_name_H-M 'I 4/m m m'
_symmetry_Int_Tables_number 139
_symmetry_space_group_name_Hall '-I 4 2'
_cell_length_a 6.676
_cell_length_b 6.676
_cell_length_c 6.486
_cell_angle_alpha 90.00
_cell_angle_beta 90.00
_cell_angle_gamma 90.00
loop_
_atom_site_label
_atom_site_type_symbol
_atom_site_fract_x
_atom_site_fract_y
_atom_site_fract_z
_atom_site_occupancy
Tm1 Tm 0.000 0.500 0.000 1
Th1 Th 0.000 0.000 0.000 1
Ru1 Ru 0.250 0.250 0.250 1
```

Output
Crystal system = tetragonal
Energy of formation from the pure elements = 0.12 eV per atom
DOS(E_F) = 1.395 states/eV per atom



[2]
Computed, not measured: HfAl2Au2 after structural relaxation at the GGA-PBE level of DFT.

Geometry as CIF:
```
data_HfAl2Au2
_symmetry_space_group_name_H-M 'P 4/m b m'
_symmetry_Int_Tables_number 127
_symmetry_space_group_name_Hall '-P 4 2ab'
_cell_length_a 7.650
_cell_length_b 7.650
_cell_length_c 2.999
_cell_angle_alpha 90.00
_cell_angle_beta 90.00
_cell_angle_gamma 90.00
loop_
_atom_site_label
_atom_site_type_symbol
_atom_site_fract_x
_atom_site_fract_y
_atom_site_fract_z
_atom_site_occupancy
Hf1 Hf 0.000 0.000 0.000 1
Al1 Al 0.133 0.367 0.000 1
Au1 Au 0.165 0.665 0.500 1
```

Output
ΔE to the lowest computed polymorph = 80 meV/atom
Crystal system = tetragonal
Energy of formation from the pure elements = -0.30 eV per atom
DOS(E_F) = 0.617 states/eV per atom



[3]
Computed, not measured: CsNaAg2F8 after structural relaxation at the GGA-PBE level of DFT.

Geometry as CIF:
```
data_CsNaAg2F8
_symmetry_space_group_name_H-M 'I -4'
_symmetry_Int_Tables_number 82
_cell_length_a 6.288
_cell_length_b 6.288
_cell_length_c 9.996
_cell_angle_alpha 90.00
_cell_angle_beta 90.00
_cell_angle_gamma 90.00
loop_
_symmetry_equiv_pos_as_xyz
'x,y,z'
'y,-x,-z'
'-x,-y,z'
'-y,x,-z'
'x+1/2,y+1/2,z+1/2'
'y+1/2,-x+1/2,-z+1/2'
'-x+1/2,-y+1/2,z+1/2'
'-y+1/2,x+1/2,-z+1/2'
loop_
_atom_site_label
_atom_site_type_symbol
_atom_site_fract_x
_atom_site_fract_y
_atom_site_fract_z
_atom_site_occupancy
Cs1 Cs 0.000 0.000 0.000 1
Na1 Na 0.000 0.500 0.750 1
Ag1 Ag 0.000 0.000 0.500 1
Ag2 Ag 0.000 0.500 0.250 1
F1 F 0.001 0.310 0.512 1
F2 F 0.220 0.275 0.250 1
```

Output
Crystal system = tetragonal
Energy relative to the elements, uncorrected = -1669 meV per atom



[4]
Computed, not measured: ReBTe2N after structural relaxation at the GGA-PBE level of DFT.

Geometry as CIF:
```
data_ReBTe2N
_symmetry_space_group_name_H-M 'P 4/m m m'
_symmetry_Int_Tables_number 123
_symmetry_space_group_name_Hall '-P 4 2'
_cell_length_a 5.521
_cell_length_b 5.521
_cell_length_c 2.794
_cell_angle_alpha 90.00
_cell_angle_beta 90.00
_cell_angle_gamma 90.00
loop_
_atom_site_label
_atom_site_type_symbol
_atom_site_fract_x
_atom_site_fract_y
_atom_site_fract_z
_atom_site_occupancy
Re1 Re 0.000 0.000 0.000 1
B1 B 0.500 0.500 0.500 1
Te1 Te 0.000 0.500 0.500 1
N1 N 0.500 0.500 0.000 1
```

Output
ΔE to the lowest computed polymorph = 0 meV/atom
Crystal system = tetragonal
Energy relative to the elements, uncorrected = 874 meV per atom
DOS(E_F) = 1.126 states/eV per atom